This record from Alexandria via LeMat-Bulk describes a relaxed CePr2Au crystal. The functional is PBE.

a b c (Å): 3.733 3.733 8.350
angles (deg): 90.00 90.00 90.00
Space group P4/mmm (No. 123)
One atom of each set of equivalent atoms:
Ce  0.000  0.000  0.000 x1
Pr  0.500  0.500  0.280 x2
Au  0.000  0.000  0.500 x1

Calculated values
The total energy is -5.002 eV per atom. The value obtained for the density of states at the Fermi level is 6.315 states/eV/f.u. As for the volume: 116 Å³/cell. As for the energy relative to the elements: -119.3 kJ/mol of formula units.